Mn2SbP | PBE-GGA | optimized geometry

Computed properties:
magnetization: 4.1 μB per cell
raw formation energy: -0.0796 eV per atom
Fermi-level density of states: 0.50 states/eV/atom

a b c (Å): 3.263 3.263 5.739
angles (deg): 90.00 90.00 90.00
Fractional coordinates of all 4 atoms:
1 Mn 0.500 0.500 0.294
2 P 0.000 0.000 0.403
3 Sb 0.500 0.500 0.789
4 Mn 0.000 0.000 0.014